Entry from Alexandria via LeMat-Bulk: a relaxed structure of In2NiHg (PBE-GGA).

Summary:
- calculated formation energy (eV per atom) = 0.01
- Fermi-level density of states (states/eV/f.u.) = 2.057
- DFT total energy (eV per atom) = -2.88

Unit cell a=7.044 b=7.044 c=7.044 alpha=155.82 beta=143.33 gamma=44.41
Fractional positions:
Ni 0.506 0.506 0.000
In 0.994 0.994 0.000
In 0.683 0.183 0.500
Hg 0.317 0.817 0.500

***

Entry from Alexandria via LeMat-Bulk: a relaxed structure of NpRhSe4 (PBE-GGA).

Summary:
- Fermi-level density of states (states/eV/f.u.) = 11.064
- DFT total energy (eV per atom) = -6.25
- formation energy without anion corrections (eV per formula unit) = -3.3

Unit cell a=6.288 b=6.515 c=6.851 alpha=90.00 beta=98.94 gamma=90.00
Each line ends with the local moment (μB).
Fractional positions:
Se 0.732 0.705 0.679  -0.08
Se 0.268 0.295 0.321  -0.08
Se 0.620 0.171 0.808  -0.15
Se 0.120 0.329 0.808  -0.15
Se 0.232 0.795 0.679  -0.08
Se 0.768 0.205 0.321  -0.08
Se 0.880 0.671 0.192  -0.15
Se 0.380 0.829 0.192  -0.15
Np 0.500 0.500 0.000  3.15
Np 0.000 0.000 0.000  3.15
Rh 0.500 0.000 0.500  -0.06
Rh 0.000 0.500 0.500  -0.06

***

Entry from Alexandria via LeMat-Bulk: a relaxed structure of CoPtW (PBE-GGA).

Summary:
- E above lowest polymorph (meV per atom) = 537
- calculated formation energy (eV per atom) = 0.38
- Fermi-level density of states (states/eV/f.u.) = 4.431
- DFT total energy (eV per atom) = -8.32

Unit cell a=4.062 b=4.062 c=4.062 alpha=60.00 beta=60.00 gamma=60.00
Each line ends with the local moment (μB).
Fractional positions:
Pt 0.000 0.000 0.000  0.12
Co 0.750 0.750 0.750  0.76
W 0.500 0.500 0.500  0.08

***

Entry from Alexandria via LeMat-Bulk: a relaxed structure of PrThHg (PBE-GGA).

Summary:
- E above lowest polymorph (meV per atom) = 204
- calculated formation energy (eV per atom) = -0.02
- Fermi-level density of states (states/eV/f.u.) = 2.816
- DFT total energy (eV per atom) = -4.18

Unit cell a=3.709 b=5.391 c=5.391 alpha=120.00 beta=90.00 gamma=90.00
Fractional positions:
Pr 0.655 0.667 0.333
Hg 0.227 0.333 0.667
Th 0.117 0.000 0.000

***

Entry from Alexandria via LeMat-Bulk: a relaxed structure of MgZr2Cd (PBE-GGA).

Summary:
- calculated formation energy (eV per atom) = 0.19
- Fermi-level density of states (states/eV/f.u.) = 2.751
- DFT total energy (eV per atom) = -4.71

Unit cell a=5.048 b=5.048 c=5.050 alpha=60.01 beta=60.01 gamma=60.00
Each line ends with the local moment (μB).
Fractional positions:
Zr 0.000 0.000 0.000  0.99
Zr 0.250 0.250 0.250  1.15
Mg 0.500 0.500 0.500  0.00
Cd 0.750 0.750 0.750  0.02

***

Entry from Alexandria via LeMat-Bulk: a relaxed structure of NaCa3Pa2N6 (PBE-GGA).

Summary:
- Fermi-level density of states (states/eV/f.u.) = 7.676
- DFT total energy (eV per atom) = -7.53
- formation energy without anion corrections (eV per formula unit) = -14.1

Unit cell a=3.613 b=7.137 c=7.573 alpha=103.81 beta=103.80 gamma=90.00
Fractional positions:
Ca 0.159 0.837 0.318
Ca 0.500 0.500 0.000
Ca 0.841 0.163 0.682
N 0.327 0.886 0.655
N 0.679 0.565 0.359
N 0.673 0.114 0.345
N 0.982 0.723 0.963
N 0.018 0.277 0.037
N 0.321 0.435 0.641
Pa 0.837 0.682 0.673
Pa 0.163 0.318 0.327
Na 0.500 0.000 0.000

***

Entry from Alexandria via LeMat-Bulk: a relaxed structure of Li2VGa4 (PBE-GGA).

Summary:
- E above lowest polymorph (meV per atom) = 420
- calculated formation energy (eV per atom) = 0.17
- Fermi-level density of states (states/eV/f.u.) = 4.873
- DFT total energy (eV per atom) = -3.41

Unit cell a=4.775 b=4.775 c=7.524 alpha=71.50 beta=71.50 gamma=90.00
Fractional positions:
Ga 0.181 0.181 0.638
Ga 0.819 0.819 0.362
Ga 0.500 0.000 0.000
Ga 0.000 0.500 0.000
Li 0.387 0.387 0.226
Li 0.613 0.613 0.774
V 0.000 0.000 0.000

***

Entry from Alexandria via LeMat-Bulk: a relaxed structure of HgSeBr3 (PBE-GGA).

Summary:
- E above lowest polymorph (meV per atom) = 240
- Fermi-level density of states (states/eV/f.u.) = 1.725
- DFT total energy (eV per atom) = -1.76
- formation energy without anion corrections (eV per formula unit) = 0.0

Unit cell a=5.378 b=5.378 c=5.378 alpha=90.00 beta=90.00 gamma=90.00
Fractional positions:
Br 0.500 0.000 0.000
Br 0.000 0.000 0.500
Br 0.000 0.500 0.000
Hg 0.500 0.500 0.500
Se 0.000 0.000 0.000

***

Entry from Alexandria via LeMat-Bulk: a relaxed structure of Ho5Sb2Os (PBE-GGA).

Summary:
- Fermi-level density of states (states/eV/f.u.) = 7.206
- DFT total energy (eV per atom) = -5.58
- formation energy without anion corrections (eV per formula unit) = -2.3

Unit cell a=5.706 b=7.461 c=14.658 alpha=90.00 beta=90.00 gamma=112.48
Fractional positions:
Ho 0.282 0.563 0.750
Ho 0.049 0.097 0.372
Ho 0.690 0.380 0.891
Ho 0.049 0.097 0.128
Ho 0.951 0.903 0.628
Ho 0.310 0.620 0.109
Ho 0.690 0.380 0.609
Ho 0.718 0.437 0.250
Ho 0.310 0.620 0.391
Ho 0.951 0.903 0.872
Sb 0.157 0.313 0.948
Sb 0.843 0.687 0.448
Sb 0.843 0.687 0.052
Sb 0.157 0.313 0.552
Os 0.809 0.619 0.750
Os 0.191 0.381 0.250

***

Entry from Alexandria via LeMat-Bulk: a relaxed structure of Sm6C3Se2Cl (PBE-GGA).

Summary:
- Fermi-level density of states (states/eV/f.u.) = 2.734
- DFT total energy (eV per atom) = -6.48
- formation energy without anion corrections (eV per formula unit) = -13.0

Unit cell a=3.836 b=8.124 c=8.982 alpha=107.61 beta=102.33 gamma=90.00
Fractional positions:
Sm 0.321 0.943 0.643
Sm 0.679 0.057 0.357
Sm 0.012 0.719 0.024
Sm 0.658 0.606 0.316
Sm 0.342 0.394 0.684
Sm 0.988 0.281 0.976
Se 0.163 0.326 0.327
Se 0.837 0.674 0.673
C 0.500 0.500 0.000
C 0.167 0.833 0.334
C 0.833 0.167 0.666
Cl 0.500 0.000 0.000

***

Entry from Alexandria via LeMat-Bulk: a relaxed structure of Y5Os (PBE-GGA).

Summary:
- E above lowest polymorph (meV per atom) = 851
- calculated formation energy (eV per atom) = 0.77
- Fermi-level density of states (states/eV/f.u.) = 9.222
- DFT total energy (eV per atom) = -6.48

Unit cell a=6.160 b=6.160 c=6.160 alpha=60.00 beta=60.00 gamma=60.00
Each line ends with the local moment (μB).
Fractional positions:
Y 0.250 0.250 0.250  0.20
Y 0.626 0.121 0.626  0.14
Y 0.626 0.626 0.121  0.14
Y 0.626 0.626 0.626  0.14
Y 0.121 0.626 0.626  0.14
Os 0.000 0.000 0.000  0.30

***

Entry from Alexandria via LeMat-Bulk: a relaxed structure of Pm2Sm8Zn (PBE-GGA).

Summary:
- E above lowest polymorph (meV per atom) = 58
- calculated formation energy (eV per atom) = 0.05
- Fermi-level density of states (states/eV/f.u.) = 19.374
- DFT total energy (eV per atom) = -4.36

Unit cell a=5.605 b=7.475 c=9.870 alpha=112.19 beta=106.49 gamma=90.00
Fractional positions:
Pm 0.809 0.309 0.618
Pm 0.191 0.691 0.382
Zn 0.500 0.000 0.000
Sm 0.817 0.816 0.633
Sm 0.000 0.755 0.000
Sm 0.369 0.130 0.738
Sm 0.370 0.608 0.740
Sm 0.630 0.392 0.260
Sm 0.183 0.184 0.367
Sm 0.000 0.245 0.000
Sm 0.631 0.870 0.262